1.
{
  "formula": "ZnCu",
  "functional": "PBEsol",
  "state": "optimized geometry",
  "lattice_angstrom": [[-2.296, 1.063, 0.413], [-0.753, -0.073, -3.997], [-0.787, -4.886, 0.237]],
  "species": ["Zn", "Zn", "Cu", "Cu"],
  "frac_coords": [[0.831, 0.750, 0.663], [0.169, 0.250, 0.337], [0.430, 0.250, 0.861], [0.570, 0.750, 0.139]],
  "delta_e_f_ev_per_atom": -0.0593,
  "sg": "Cmcm"
}

***

2.
{
  "formula": "InFeTc",
  "functional": "PBEsol",
  "state": "optimized geometry",
  "lattice_angstrom": [[-0.605, 3.906, 1.338], [-2.679, 2.498, -1.998], [-3.613, 1.052, 1.802]],
  "species": ["Fe", "Tc", "In"],
  "frac_coords": [[0.000, 0.000, 0.000], [0.250, 0.250, 0.250], [0.500, 0.500, 0.500]],
  "delta_e_f_ev_per_atom": 0.8428,
  "sg": "F-43m"
}

***

3.
{
  "formula": "NiBPd3",
  "functional": "PBEsol",
  "state": "optimized geometry",
  "lattice_angstrom": [[-2.618, -2.037, -2.324], [2.917, -0.623, -2.739], [1.020, -3.445, 1.870]],
  "species": ["Pd", "Pd", "Pd", "Ni", "B"],
  "frac_coords": [[0.000, 0.000, 0.500], [0.000, 0.500, 0.000], [0.500, 0.000, 0.000], [0.500, 0.500, 0.500], [0.000, 0.000, 0.000]],
  "delta_e_f_ev_per_atom": 0.0890,
  "sg": "Pm-3m"
}

***

4.
{
  "formula": "AlHg2As",
  "functional": "PBEsol",
  "state": "optimized geometry",
  "lattice_angstrom": [[-2.046, 1.598, 4.994], [-3.753, -3.934, 2.893], [3.289, -1.479, 4.993]],
  "species": ["Al", "Al", "Hg", "Hg", "Hg", "Hg", "As", "As"],
  "frac_coords": [[0.250, 0.500, 0.500], [0.500, 0.000, 0.000], [0.126, 0.999, 0.499], [0.875, 0.501, 0.999], [0.624, 0.001, 0.501], [0.375, 0.499, 0.001], [0.750, 0.500, 0.500], [0.000, 0.000, 0.000]],
  "delta_e_f_ev_per_atom": 0.1667,
  "sg": "I-42d"
}

***

5.
{
  "formula": "Be2ZnOs",
  "functional": "PBEsol",
  "state": "optimized geometry",
  "lattice_angstrom": [[-1.750, -1.344, -2.376], [-1.526, -2.414, 2.490], [-1.007, 4.205, 0.576]],
  "species": ["Os", "Be", "Be", "Zn"],
  "frac_coords": [[0.500, 0.000, 0.000], [0.250, 0.250, 0.500], [0.750, 0.750, 0.500], [0.000, 0.500, 0.000]],
  "delta_e_f_ev_per_atom": 0.0329,
  "sg": "Immm"
}

***

6.
{
  "formula": "LiReSe2",
  "functional": "PBEsol",
  "state": "optimized geometry",
  "lattice_angstrom": [[3.227, 0.000, 0.000], [0.000, 3.227, 0.000], [0.000, 0.000, 6.397]],
  "species": ["Se", "Se", "Re", "Li"],
  "frac_coords": [[0.500, 0.500, 0.354], [0.000, 0.000, 0.918], [0.500, 0.500, 0.740], [0.000, 0.000, 0.488]],
  "formation_energy_uncorrected_ev_per_atom": -0.140,
  "sg": "P4mm"
}

***

7.
{
  "formula": "MgZnRh2",
  "functional": "PBEsol",
  "state": "optimized geometry",
  "lattice_angstrom": [[-2.013, -2.815, 2.512], [-2.796, -2.758, -1.691], [0.974, -4.157, -0.238]],
  "species": ["Rh", "Rh", "Zn", "Mg"],
  "frac_coords": [[0.250, 0.250, 0.250], [0.750, 0.750, 0.750], [0.000, 0.000, 0.000], [0.500, 0.500, 0.500]],
  "delta_e_f_ev_per_atom": -0.3719,
  "sg": "Fm-3m"
}

***

8.
{
  "formula": "Zr2AsOs",
  "functional": "PBEsol",
  "state": "optimized geometry",
  "lattice_angstrom": [[-0.747, 0.287, 3.454], [-3.369, -0.100, 1.099], [-0.941, -6.985, 2.197]],
  "species": ["Os", "As", "Zr", "Zr"],
  "frac_coords": [[0.000, 0.000, 0.000], [0.500, 0.500, 0.500], [0.249, 0.249, 0.252], [0.751, 0.751, 0.748]],
  "delta_e_f_ev_per_atom": -0.4085,
  "sg": "R-3m"
}

***

9.
{
  "formula": "BaSiRu2",
  "functional": "PBEsol",
  "state": "optimized geometry",
  "lattice_angstrom": [[4.293, 0.000, 0.000], [2.146, 3.718, 0.000], [2.146, 1.239, 5.753]],
  "species": ["Ba", "Ru", "Ru", "Si"],
  "frac_coords": [[0.000, 0.000, 0.000], [0.178, 0.178, 0.465], [0.822, 0.822, 0.535], [0.500, 0.500, 0.500]],
  "formation_energy_uncorrected_ev_per_atom": -0.105,
  "sg": "R-3m"
}

***

10.
{
  "formula": "CrCo2Ir",
  "functional": "PBEsol",
  "state": "optimized geometry",
  "lattice_angstrom": [[-1.468, 1.749, 1.205], [-1.673, -2.567, 1.688], [3.399, 0.259, 3.762]],
  "species": ["Co", "Co", "Cr", "Ir"],
  "frac_coords": [[0.500, 0.500, 0.243], [0.000, 0.000, 0.024], [0.000, 0.000, 0.484], [0.500, 0.500, 0.748]],
  "delta_e_f_ev_per_atom": -0.0267,
  "sg": "Pmm2"
}

***

11.
{
  "formula": "AlSb",
  "functional": "PBEsol",
  "state": "optimized geometry",
  "lattice_angstrom": [[-3.831, -2.223, 2.926], [-2.853, -4.273, -1.336], [0.238, -4.758, 2.343]],
  "species": ["Sb", "Sb", "Al", "Al"],
  "frac_coords": [[0.384, 0.384, 0.384], [0.616, 0.616, 0.616], [0.155, 0.155, 0.155], [0.845, 0.845, 0.845]],
  "formation_energy_uncorrected_ev_per_atom": 0.258,
  "sg": "R-3m"
}

***

12.
{
  "formula": "Tl2Hg",
  "functional": "PBEsol",
  "state": "optimized geometry",
  "lattice_angstrom": [[3.956, 0.000, 0.000], [0.000, 5.263, 0.000], [-1.978, 0.000, 7.703]],
  "species": ["Hg", "Hg", "Tl", "Tl", "Tl", "Tl"],
  "frac_coords": [[0.583, 0.250, 0.165], [0.417, 0.750, 0.835], [0.080, 0.750, 0.161], [0.243, 0.250, 0.487], [0.757, 0.750, 0.513], [0.920, 0.250, 0.839]],
  "delta_e_f_ev_per_atom": -0.0010,
  "sg": "Cmcm"
}

***

Results for magnetization: 0.0; 0.0; 1.0; 0.0; 0.0; 0.0; 0.0; 0.0; 0.7; 1.7; 0.0; 0.0 (in μB/cell, following the order of the records).